Below is a geometry-optimized PaBe2Nb structure, with properties calculated at the PBE level. Values from VASP.

Properties
The calculated volume is 15.36 A^3/atom. As for the formation energy: 0.068 eV per atom. Its density of states at the Fermi level is 1.7 states/eV per cell. For the relative energy among the computed polymorphs, the calculation gives 0.0000 eV/atom. As for the symmetry: P4/mmm, No. 123. Its calculated total energy is -6.69 eV/atom.

```
&SYSTEM
  ibrav = 0, nat = 4, ntyp = 3
/
ATOMIC_SPECIES
Pa 231.04 Pa.upf
Be 9.01 Be.upf
Nb 92.91 Nb.upf
CELL_PARAMETERS angstrom
2.8909 0.0000 0.0000
0.0000 2.8909 0.0000
0.0000 0.0000 7.3525
ATOMIC_POSITIONS angstrom
Pa 0.0000 0.0000 0.0000
Be 1.4455 1.4455 2.0284
Be 1.4455 1.4455 5.3242
Nb 0.0000 0.0000 3.6763
```